Record 1
Density functional theory data (PBE) for a relaxed structure of Pr2TmZn3Pd4.

a b c (Å): 4.206 4.206 11.687
angles (deg): 90.00 90.00 90.00
Space group P-4m2 (No. 115)
Symmetry-distinct sites (fractional):
Pr  0.000  0.500  0.227 (multiplicity 2)
Tm  0.000  0.000  0.500 (multiplicity 1)
Zn  0.000  0.500  0.875 (multiplicity 2)
Zn  0.500  0.500  0.500 (multiplicity 1)
Pd  0.000  0.000  0.000 (multiplicity 1)
Pd  0.000  0.500  0.655 (multiplicity 2)
Pd  0.500  0.500  0.000 (multiplicity 1)

Summary:
**E**: -45.1 eV for the cell shown
**ΔE_f**: -0.64 eV/atom

***

Record 2
Density functional theory data (PBE) for a relaxed structure of PrUPd4.

a b c (Å): 7.768 7.768 7.768
angles (deg): 90.00 90.00 90.00
Space group F-43m (No. 216)
Symmetry-distinct sites (fractional):
Pr  0.000  0.000  0.000 (multiplicity 4)
U  0.250  0.250  0.250 (multiplicity 4)
Pd  0.125  0.125  0.625 (multiplicity 16)

Summary:
**E**: -158.7 eV for the cell shown
**ΔE_f**: -0.47 eV/atom

***

Record 3
Density functional theory data (PBE) for a relaxed structure of PrUPd6.

a b c (Å): 4.180 4.180 8.357
angles (deg): 90.00 90.00 90.00
Space group P4/mmm (No. 123)
Symmetry-distinct sites (fractional):
Pr  0.000  0.000  0.000 (multiplicity 1)
U  0.000  0.000  0.500 (multiplicity 1)
Pd  0.000  0.500  0.260 (multiplicity 4)
Pd  0.500  0.500  0.000 (multiplicity 1)
Pd  0.500  0.500  0.500 (multiplicity 1)

Summary:
**E**: -52.5 eV for the cell shown
**ΔE_f**: -0.66 eV/atom

***

> Which of these has the highest ΔE_f?

PrUPd4

***

> Among the records above, which one has the lowest ΔE_f?

PrUPd6

***

> The highest ΔE_f belongs to which entry?

PrUPd4